No. 1
First-principles (GGA-PBE) data for a relaxed ZnIr2W crystal, as listed in Alexandria.

Cell and atoms, written as POSCAR:
```
ZnIr2W
1.0
1.430 -2.329 0.000
1.430 2.329 0.000
0.000 0.000 9.116
Zn Ir W
1 2 1
Cartesian
0.000 0.000 0.000
0.000 0.000 4.527
1.430 0.000 2.149
1.430 0.000 6.755
```

Summary:
- SG = Cmm2
- E_tot (eV/atom) = -7.79
- magnetization (Bohr magnetons per cell) = 0.00

No. 2
First-principles (GGA-PBE) data for a relaxed ZnIr2W crystal, as listed in Alexandria.

Cell and atoms, written as POSCAR:
```
ZnIr2W
1.0
4.035 0.000 0.000
0.000 4.035 0.000
0.000 0.000 3.655
Zn Ir W
1 2 1
Cartesian
0.000 0.000 0.000
0.000 2.017 1.827
2.017 0.000 1.827
2.017 2.017 0.000
```

Summary:
- SG = P4/mmm
- E_tot (eV/atom) = -7.94
- magnetization (Bohr magnetons per cell) = 0.00

No. 3
First-principles (GGA-PBE) data for a relaxed Zn2IrW crystal, as listed in Alexandria.

Cell and atoms, written as POSCAR:
```
Zn2IrW
1.0
-1.997 1.997 3.673
1.997 -1.997 3.673
1.997 1.997 -3.673
Zn Ir W
2 1 1
Cartesian
0.000 0.000 0.000
0.000 1.997 1.836
1.997 0.000 1.836
0.000 0.000 3.673
```

Summary:
- SG = I-4m2
- E_tot (eV/atom) = -6.00
- magnetization (Bohr magnetons per cell) = 0.00

No. 4
First-principles (GGA-PBE) data for a relaxed Zn2IrW crystal, as listed in Alexandria.

Cell and atoms, written as POSCAR:
```
Zn2IrW
1.0
2.760 0.000 0.000
0.000 2.760 0.000
0.000 0.000 7.713
Zn Ir W
2 1 1
Cartesian
0.000 0.000 1.819
0.000 0.000 5.894
1.380 1.380 0.000
1.380 1.380 3.856
```

Summary:
- SG = P4/mmm
- E_tot (eV/atom) = -5.92
- magnetization (Bohr magnetons per cell) = 0.00

No. 5
First-principles (GGA-PBE) data for a relaxed Zn2IrW crystal, as listed in Alexandria.

Cell and atoms, written as POSCAR:
```
Zn2IrW
1.0
2.798 0.000 0.000
0.000 4.028 0.000
0.000 0.000 5.274
Zn Ir W
2 1 1
Cartesian
0.000 0.000 1.288
0.000 0.000 3.985
1.399 2.014 0.000
1.399 2.014 2.637
```

Summary:
- SG = Pmmm
- E_tot (eV/atom) = -5.88
- magnetization (Bohr magnetons per cell) = 0.00

No. 6
First-principles (GGA-PBE) data for a relaxed Zn2IrW crystal, as listed in Alexandria.

Cell and atoms, written as POSCAR:
```
Zn2IrW
1.0
1.404 0.810 8.991
-1.404 0.810 8.991
0.000 -1.621 8.991
Zn Ir W
2 1 1
Cartesian
0.000 0.000 0.000
0.000 0.000 6.611
0.000 0.000 13.394
0.000 0.000 20.274
```

Summary:
- SG = R3m
- E_tot (eV/atom) = -6.08
- magnetization (Bohr magnetons per cell) = 0.00

No. 7
First-principles (GGA-PBE) data for a relaxed Zn2IrW crystal, as listed in Alexandria.

Cell and atoms, written as POSCAR:
```
Zn2IrW
1.0
-1.397 2.359 4.576
1.397 -2.359 4.576
1.397 2.359 -4.576
Zn Ir W
2 1 1
Cartesian
0.000 0.000 2.217
0.000 0.000 6.936
1.397 0.000 0.000
0.000 2.359 0.000
```

Summary:
- SG = Immm
- E_tot (eV/atom) = -5.99
- magnetization (Bohr magnetons per cell) = 0.00

No. 8
First-principles (GGA-PBE) data for a relaxed ZnIrW crystal, as listed in Alexandria.

Cell and atoms, written as POSCAR:
```
ZnIrW
1.0
0.000 2.972 2.972
2.972 0.000 2.972
2.972 2.972 0.000
Zn Ir W
1 1 1
Cartesian
0.000 0.000 0.000
1.486 1.486 1.486
2.972 2.972 2.972
```

Summary:
- SG = F-43m
- E_tot (eV/atom) = -7.54
- magnetization (Bohr magnetons per cell) = 0.00

Number 1: formation energy from the elements 0.193 eV per atom. Number 2: formation energy from the elements 0.049 eV per atom. Number 3: formation energy from the elements 0.088 eV per atom. Number 4: formation energy from the elements 0.169 eV per atom. Number 5: formation energy from the elements 0.211 eV per atom. Number 6: formation energy from the elements 0.008 eV per atom. Number 7: formation energy from the elements 0.100 eV per atom. Number 8: formation energy from the elements 0.159 eV per atom.